The following is a DFT calculation (PBE) of a geometry-optimized AcNiRhPb structure.

The value obtained for the formation energy from the elements is -0.7 eV per formula unit.

It has space group F-43m (No. 216), with a = 7.053 Å, b = 7.053 Å, c = 7.053 Å, α = 90.00°, β = 90.00° and γ = 90.00°. The inequivalent atoms are Ac at (0.000, 0.000, 0.000), Ni at (0.250, 0.250, 0.750), Rh at (0.250, 0.250, 0.250) and Pb at (0.000, 0.000, 0.500).